[1]
RbNbZn | PBE | optimized geometry

a = 3.229 Å, b = 4.794 Å, c = 13.092 Å
α = 95.05°, β = 93.95°, γ = 107.47°
Element x y z (fractional)
1 Rb 0.000 0.000 0.000
2 Rb 0.145 0.620 0.352
3 Nb 0.107 0.187 0.576
4 Nb 0.697 0.679 0.633
5 Zn 0.191 0.524 0.793
6 Zn 0.484 0.091 0.758

Results
D(E_F) ... 6.4 states/eV/cell
ΔE_f ... 0.4481 eV/atom
Offset from the most stable computed form ... 149 meV per atom
E_tot ... -3.6556 eV/atom

[2]
RbNbZn | PBE | optimized geometry

a = 3.502 Å, b = 3.600 Å, c = 13.908 Å
α = 91.52°, β = 90.75°, γ = 90.02°
Element x y z (fractional)
1 Rb 0.233 0.273 0.164
2 Rb 0.767 0.727 0.836
3 Nb 0.247 0.310 0.444
4 Nb 0.753 0.690 0.556
5 Zn 0.258 0.198 0.645
6 Zn 0.742 0.802 0.355

Results
D(E_F) ... 4.8 states/eV/cell
ΔE_f ... 0.2993 eV/atom
Offset from the most stable computed form ... 0 meV per atom
E_tot ... -3.8045 eV/atom

[3]
RbNb3Zn | PBE | optimized geometry

a = 4.784 Å, b = 4.784 Å, c = 4.784 Å
α = 90.00°, β = 90.00°, γ = 90.00°
Element x y z (fractional)
1 Rb 0.000 0.000 0.000
2 Nb 0.000 0.000 0.500
3 Nb 0.000 0.500 0.000
4 Nb 0.500 0.000 0.000
5 Zn 0.500 0.500 0.500

Results
D(E_F) ... 1.6 states/eV/cell
ΔE_f ... 2.6759 eV/atom
Offset from the most stable computed form ... 946 meV per atom
E_tot ... -3.8142 eV/atom